(1)
DFT (GGA-PBE) results for a geometry-optimized Cr2Ni2Ru structure.

Values from the calculation:
Distance to the lowest polymorph of the same formula = 92 meV/atom
DFT formation energy = 0.294 eV per atom
D(E_F) = 11.9 states/eV/cell

Cell lengths 6.906, 6.906, 2.536 Å; angles 90.00, 90.00, 90.00 degrees
Atoms (fractional coordinates):
Cr (0.112, 0.388, 0.000)
Cr (0.388, 0.888, 0.000)
Cr (0.612, 0.112, 0.000)
Cr (0.888, 0.612, 0.000)
Ni (0.182, 0.682, 0.500)
Ni (0.318, 0.182, 0.500)
Ni (0.682, 0.818, 0.500)
Ni (0.818, 0.318, 0.500)
Ru (0.000, 0.000, 0.000)
Ru (0.500, 0.500, 0.000)

---

(2)
DFT (GGA-PBE) results for a geometry-optimized Li6ThIn6 structure.

Values from the calculation:
DFT formation energy = -0.270 eV per atom
D(E_F) = 5.5 states/eV/cell

Cell lengths 7.413, 7.413, 7.413 Å; angles 134.00, 99.29, 98.27 degrees
Atoms (fractional coordinates):
Li (0.000, 0.000, 0.500)
Li (0.000, 0.500, 0.000)
Li (0.230, 0.230, 0.000)
Li (0.500, 0.000, 0.000)
Li (0.500, 0.500, 0.500)
Li (0.770, 0.770, 0.000)
Th (0.000, 0.500, 0.500)
In (0.192, 0.000, 0.192)
In (0.344, 0.844, 0.500)
In (0.345, 0.500, 0.845)
In (0.655, 0.500, 0.155)
In (0.656, 0.156, 0.500)
In (0.808, 0.000, 0.808)

---

(3)
DFT (GGA-PBE) results for a geometry-optimized Cs3Sc2CrTe6 structure.

Values from the calculation:
Electronic total energy = -55.4 eV per formula unit

Cell lengths 7.483, 7.483, 9.130 Å; angles 97.87, 97.87, 120.03 degrees
Atoms (fractional coordinates):
Cs (0.000, 0.000, 0.000)
Cs (0.328, 0.672, 0.000)
Cs (0.672, 0.328, 0.000)
Sc (0.166, 0.834, 0.500)
Sc (0.834, 0.166, 0.500)
Cr (0.500, 0.500, 0.500)
Te (0.123, 0.442, 0.326)
Te (0.240, 0.240, 0.677)
Te (0.442, 0.123, 0.326)
Te (0.558, 0.877, 0.674)
Te (0.760, 0.760, 0.323)
Te (0.877, 0.558, 0.674)